No. 1
The following is a DFT calculation (PBE) of a relaxed PrHo5 crystal.

Geometry as POSCAR:
```
PrHo5
1.0
-5.7624 1.1590 -1.8107
4.1890 -5.1133 -2.6355
-3.6726 -6.7920 7.3402
Pr Ho
2 10
direct
0.2504 0.5006 0.7500 Pr
0.7496 0.4994 0.2500 Pr
0.7499 0.5000 0.5830 Ho
0.7502 0.0003 0.5826 Ho
0.7502 0.0003 0.9174 Ho
0.2501 0.5000 0.4170 Ho
0.7501 0.9998 0.2500 Ho
0.2499 0.0002 0.7500 Ho
0.2498 0.9997 0.0826 Ho
0.2501 0.5000 0.0830 Ho
0.2498 0.9997 0.4174 Ho
0.7499 0.5000 0.9170 Ho
```

SG: No. 11
E_form: 20 meV/atom
Crystal system: monoclinic
Magnetization: 0.000 μB per formula unit
Energy above the lowest structure with this stoichiometry: 5.3 meV per atom

***

No. 2
The following is a DFT calculation (PBE) of a relaxed NdAg2Au crystal.

Geometry as POSCAR:
```
NdAg2Au
1.0
3.1124 0.0000 0.0000
1.5562 2.6954 0.0000
1.5562 0.8985 10.6569
Nd Au Ag
1 1 2
direct
0.0000 0.0000 0.0000 Nd
0.5000 0.5000 0.5000 Au
0.0947 0.0947 0.7159 Ag
0.9053 0.9053 0.2841 Ag
```

SG: No. 166
E_form: 241 meV/atom
Crystal system: trigonal
Magnetization: 0.000 μB per formula unit
Energy above the lowest structure with this stoichiometry: 636.9 meV per atom

***

No. 3
The following is a DFT calculation (PBE) of a relaxed Th2Tc2N5 crystal.

Geometry as POSCAR:
```
Th2Tc2N5
1.0
5.2717 -0.0264 -1.7206
-0.7478 5.4522 -1.8232
0.0238 -0.0711 8.7345
N Tc Th
10 4 4
direct
0.2357 0.2357 0.4714 N
0.3392 0.7935 0.2265 N
0.7270 0.2270 0.4540 N
0.1127 0.5670 0.7735 N
0.7643 0.7643 0.5286 N
0.8873 0.4330 0.2265 N
0.2730 0.7730 0.5460 N
0.6549 0.8628 0.0000 N
0.6608 0.2065 0.7735 N
0.3451 0.1372 0.0000 N
0.2953 0.7926 0.0000 Tc
0.7047 0.2074 0.0000 Tc
0.0000 0.5000 0.5000 Tc
0.5000 0.0000 0.5000 Tc
0.3799 0.4017 0.2790 Th
0.6201 0.5983 0.7210 Th
0.8991 0.8773 0.2790 Th
0.1009 0.1227 0.7210 Th
```

Formation energy (no corrections): -0.763 eV per atom
SG: No. 12
Crystal system: monoclinic
Magnetization: 0.000 μB per formula unit

***

No. 4
The following is a DFT calculation (PBE) of a relaxed Sr2CuPt crystal.

Geometry as POSCAR:
```
Sr2CuPt
1.0
4.4041 -0.0351 0.0275
2.2342 3.7955 0.0275
2.1659 1.2269 7.2866
Sr Cu Pt
2 1 1
direct
0.9937 0.9937 0.0189 Sr
0.5063 0.5063 0.4811 Sr
0.7500 0.7500 0.7500 Cu
0.2500 0.2500 0.2500 Pt
```

SG: No. 166
E_form: -303 meV/atom
Crystal system: trigonal
Magnetization: 0.000 μB per formula unit